Record 1
! PrY3HoEr (PBE, relaxed); values from VASP
&SYSTEM
  ibrav = 0, nat = 12, ntyp = 4
/
ATOMIC_SPECIES
Pr 140.91 Pr.upf
Y 88.91 Y.upf
Ho 164.93 Ho.upf
Er 167.26 Er.upf
CELL_PARAMETERS angstrom
-0.4756 4.8418 1.3860
-7.2558 -2.8358 -1.8320
-1.3018 -2.8797 9.6131
ATOMIC_POSITIONS angstrom
Pr -0.6509 -1.4399 4.8066
Pr 0.0000 0.0000 0.0000
Y -3.3968 0.8447 5.1152
Y -5.6364 -1.7184 4.0519
Y -6.2863 -3.1562 8.8514
Y -2.7469 2.2825 0.3157
Y -3.4816 -2.2990 6.8289
Y -5.5517 1.4253 2.3382
Ho -8.4596 -2.5742 6.0724
Ho -0.5737 1.7005 3.0947
Er -6.2138 -0.0153 7.1430
Er -2.8195 -0.8584 2.0241
! D(E_F) = 1.453 states/eV per atom
! total moment = 0.00 μB per cell
! space group = No. 63
! energy of formation = 0.02 eV/atom

---

Record 2
! Tc3OsN (PBE, relaxed); values from VASP
&SYSTEM
  ibrav = 0, nat = 5, ntyp = 3
/
ATOMIC_SPECIES
Os 190.23 Os.upf
Tc 98.00 Tc.upf
N 14.01 N.upf
CELL_PARAMETERS angstrom
4.7260 0.0000 0.0000
0.0000 4.7260 0.0000
0.0000 0.0000 4.7260
ATOMIC_POSITIONS angstrom
Os 0.0000 0.0000 0.0000
Tc 0.0000 2.3630 0.0000
Tc 0.0000 0.0000 2.3630
Tc 2.3630 0.0000 0.0000
N 2.3630 2.3630 2.3630
! D(E_F) = 1.493 states/eV per atom
! total moment = 5.29 μB per cell
! space group = No. 221
! formation energy (no corrections) = 2.90 eV/atom
! energy above the most stable polymorph in this dataset = 2792.1 meV/atom